Record 1
Density functional theory data (PBE) for a relaxed CuHgAs2H crystal.

Lattice parameters (Å, degrees): 4.6788 5.1167 4.6788 90.00 90.00 90.00
Closest atoms and distances in Å follow each position.
Fractional positions:
H 0.5000 0.5000 0.5000  4 Hg 3.31, 8 As 3.47
As 0.5000 0.0000 0.0000  2 Cu 2.34
As 0.0000 0.0000 0.5000  2 Cu 2.34
Hg 0.0000 0.5000 0.0000  2 Cu 2.56
Cu 0.0000 0.0000 0.0000  4 As 2.34, 2 Hg 2.56

* Fermi-level density of states: 3.772 states/eV per cell
* ρ: 6.15 g/cm3
* total magnetization: 0.29 μB per cell
* total DFT energy (no corrections): -12.48 eV/cell
* symmetry: P4/mmm
* relative energy among the computed polymorphs: 362 meV/atom

Record 2
Density functional theory data (PBE) for a relaxed BaCa2Sn3 crystal.

Lattice parameters (Å, degrees): 7.3050 7.6944 7.6944 107.93 90.00 90.00
Closest atoms and distances in Å follow each position.
Fractional positions:
Sn 0.2500 0.8288 0.5680  2 Sn 2.92-3.25, 2 Ca 3.21
Sn 0.2500 0.9664 0.9664  2 Sn 2.92, 4 Ca 3.25
Sn 0.7500 0.4320 0.1712  2 Sn 2.92-3.25, 2 Ca 3.21
Sn 0.7500 0.0336 0.0336  2 Sn 2.92, 4 Ca 3.25
Sn 0.7500 0.1712 0.4320  2 Sn 2.92-3.25, 2 Ca 3.21
Sn 0.2500 0.5680 0.8288  2 Sn 2.92-3.25, 2 Ca 3.21
Ca 0.0000 0.2142 0.7858  6 Sn 3.21-3.45
Ca 0.5000 0.7858 0.2142  6 Sn 3.21-3.45
Ca 0.0000 0.7858 0.2142  6 Sn 3.21-3.45
Ca 0.5000 0.2142 0.7858  6 Sn 3.21-3.45
Ba 0.7500 0.6605 0.6605  3 Sn 3.38-3.63
Ba 0.2500 0.3395 0.3395  3 Sn 3.38-3.63

* Fermi-level density of states: 10.073 states/eV per cell
* ρ: 4.63 g/cm3
* total magnetization: 0.00 μB per cell
* ΔE_f: -0.534 eV per atom
* total DFT energy (no corrections): -42.27 eV/cell
* symmetry: Cmcm